Below is crystalline Na4HgBr4 at its relaxed geometry, with properties calculated at the PBE level.

abc: 5.939 7.703 7.701
angles: 81.45 67.32 67.32
Element x y z (fractional)
Hg  0.000  0.000  0.000
Br  0.638  0.522  0.201
Br  0.161  0.201  0.478
Br  0.839  0.799  0.522
Br  0.362  0.478  0.799
Na  0.136  0.516  0.211
Na  0.653  0.211  0.483
Na  0.347  0.789  0.517
Na  0.864  0.484  0.789

Calculated values
- SG: I4/m
- E_form (uncorrected): -1.335 eV/atom
- Total moment: 0.00 Bohr magnetons per cell



Below is crystalline NaHg2Br at its relaxed geometry, with properties calculated at the PBE level.

abc: 4.143 4.119 16.146
angles: 90.00 97.08 90.00
Element x y z (fractional)
Br  0.203  0.250  0.401
Br  0.797  0.750  0.599
Hg  0.956  0.250  0.917
Hg  0.595  0.250  0.190
Hg  0.044  0.750  0.083
Hg  0.405  0.750  0.810
Na  0.708  0.750  0.412
Na  0.292  0.250  0.588

Calculated values
- SG: P2_1/m
- E_form (uncorrected): -0.726 eV/atom
- Total moment: 0.00 Bohr magnetons per cell



Below is crystalline NaHgBr at its relaxed geometry, with properties calculated at the PBE level.

abc: 5.199 5.199 5.199
angles: 60.00 60.00 60.00
Element x y z (fractional)
Br  0.000  0.000  0.000
Na  0.250  0.250  0.250
Hg  0.500  0.500  0.500

Calculated values
- SG: F-43m
- E_form (uncorrected): -0.830 eV/atom
- Total moment: 0.00 Bohr magnetons per cell



Below is crystalline NaHgBr3 at its relaxed geometry, with properties calculated at the PBE level.

abc: 7.905 10.254 10.254
angles: 80.55 70.71 70.71
Element x y z (fractional)
Br  0.333  0.027  0.185
Br  0.655  0.641  0.116
Br  0.713  0.568  0.709
Br  0.167  0.815  0.973
Br  0.833  0.185  0.027
Br  0.667  0.973  0.815
Br  0.787  0.291  0.432
Br  0.213  0.709  0.568
Br  0.155  0.116  0.641
Br  0.845  0.884  0.359
Br  0.287  0.432  0.291
Br  0.345  0.359  0.884
Na  0.750  0.904  0.096
Na  0.750  0.250  0.750
Na  0.250  0.750  0.250
Na  0.250  0.096  0.904
Hg  0.824  0.796  0.617
Hg  0.176  0.204  0.383
Hg  0.324  0.617  0.796
Hg  0.676  0.383  0.204

Calculated values
- SG: C2/c
- E_form (uncorrected): -0.862 eV/atom
- Total moment: 0.00 Bohr magnetons per cell



Below is crystalline NaHgBr3 at its relaxed geometry, with properties calculated at the PBE level.

abc: 5.590 5.590 5.590
angles: 90.00 90.00 90.00
Element x y z (fractional)
Br  0.000  0.500  0.000
Br  0.000  0.000  0.500
Br  0.500  0.000  0.000
Hg  0.000  0.000  0.000
Na  0.500  0.500  0.500

Calculated values
- SG: Pm-3m
- E_form (uncorrected): -0.688 eV/atom
- Total moment: 0.00 Bohr magnetons per cell



Below is crystalline Na3HgBr6 at its relaxed geometry, with properties calculated at the PBE level.

abc: 7.560 7.977 10.082
angles: 90.00 84.57 90.00
Element x y z (fractional)
Br  0.309  0.812  0.055
Br  0.318  0.799  0.396
Br  0.682  0.201  0.604
Br  0.191  0.312  0.445
Br  0.336  0.586  0.737
Br  0.818  0.701  0.896
Br  0.691  0.188  0.945
Br  0.809  0.688  0.555
Br  0.182  0.299  0.104
Br  0.836  0.914  0.237
Br  0.164  0.086  0.763
Br  0.664  0.414  0.263
Hg  0.500  0.500  0.500
Hg  0.000  0.000  0.000
Na  0.470  0.085  0.222
Na  0.000  0.000  0.500
Na  0.500  0.500  0.000
Na  0.030  0.585  0.278
Na  0.970  0.415  0.722
Na  0.530  0.915  0.778

Calculated values
- SG: P2_1/c
- E_form (uncorrected): -0.956 eV/atom
- Total moment: 1.20 Bohr magnetons per cell